Entry 1:
The following is a GGA-PBE calculation of a relaxed BeHAu crystal, from the Alexandria database.

Values from the calculation:
E in eV/atom: -3.431
Symmetry: P1, No. 1

Cell and atoms, written as extended XYZ:
```
6
Lattice="2.817 0.000 0.000 -1.295 4.582 0.000 -0.056 -2.108 5.739" Properties=species:S:1:pos:R:3 pbc="T T T"
Be 0.000 0.000 0.000
Be -0.019 -0.891 3.985
H 1.390 -0.209 3.631
H 1.481 2.276 4.278
Au 1.385 -0.581 1.862
Au 1.426 2.012 0.231
```



Entry 2:
The following is a GGA-PBE calculation of a relaxed CsLaTcSb crystal, from the Alexandria database.

Values from the calculation:
Formation energy from raw total energies in eV per atom: 0.04
E in eV/atom: -5.029
Symmetry: Cm, No. 8

Cell and atoms, written as extended XYZ:
```
4
Lattice="8.638 -2.234 0.000 8.638 2.234 0.000 -0.071 0.000 3.755" Properties=species:S:1:pos:R:3 pbc="T T T"
Cs 0.000 0.000 0.000
La 4.732 0.000 1.965
Tc 12.896 0.000 0.080
Sb 10.958 0.000 1.921
```



Entry 3:
The following is a GGA-PBE calculation of a relaxed TcTeSeI2 crystal, from the Alexandria database.

Values from the calculation:
Formation energy from raw total energies in eV per atom: 1.12
E in eV/atom: -2.902
Symmetry: P4/mmm, No. 123

Cell and atoms, written as extended XYZ:
```
5
Lattice="5.648 0.000 0.000 0.000 5.648 0.000 0.000 0.000 5.616" Properties=species:S:1:pos:R:3 pbc="T T T"
Tc 0.000 0.000 0.000
Te 2.824 2.824 0.000
Se 2.824 2.824 2.808
I 0.000 2.824 2.808
I 2.824 0.000 2.808
```